(1)
This record from Alexandria describes a relaxed SrSn2H crystal. The functional is PBE.

Cell lengths 5.305, 5.305, 5.305 Å; angles 60.00, 60.00, 60.00 degrees
Fractional coordinates of all 4 atoms:
1 Sr 0.500 0.500 0.500
2 Sn 0.250 0.250 0.250
3 Sn 0.750 0.750 0.750
4 H 0.000 0.000 0.000

E_tot	-2.8639	eV/atom
space group	Fm-3m, No. 225
magnetization	0.000	μB/cell

***

(2)
This record from Alexandria describes a relaxed Sr2SnH2 crystal. The functional is PBE.

Cell lengths 8.053, 8.053, 3.317 Å; angles 90.00, 90.00, 90.00 degrees
Fractional coordinates of all 10 atoms:
1 Sr 0.154 0.654 0.500
2 Sr 0.654 0.846 0.500
3 Sr 0.846 0.346 0.500
4 Sr 0.346 0.154 0.500
5 Sn 0.000 0.000 0.000
6 Sn 0.500 0.500 0.000
7 H 0.403 0.903 0.000
8 H 0.903 0.597 0.000
9 H 0.597 0.097 0.000
10 H 0.097 0.403 0.000

energy above the lowest structure with this stoichiometry	313.8	meV/atom
space group	P4/mbm, No. 127
magnetization	0.000	μB/cell